1.
# CsGePt

A geometry-optimized CsGePt structure (PBE-GGA, OQMD via LeMat-Bulk).

a b c (Å): 7.1237 7.1237 7.1237
angles (deg): 90.00 90.00 90.00
Space group F-43m (No. 216)
Unique sites:
Cs1 0.0000 0.0000 0.0000
Ge1 0.0000 0.0000 0.5000
Pt1 0.2500 0.2500 0.2500

Properties
magnetic moment	0.0	μB/cell
total DFT energy (no corrections)	-39.44	eV/cell
ρ	7.36	g cm⁻³
E above lowest polymorph	969.4	meV per atom

=====

2.
# Ga2CuHg

A geometry-optimized Ga2CuHg structure (PBE-GGA, OQMD via LeMat-Bulk).

a b c (Å): 6.6373 6.6373 6.6373
angles (deg): 90.00 90.00 90.00
Space group F-43m (No. 216)
Unique sites:
Ga1 0.0000 0.0000 0.0000
Ga2 0.2500 0.2500 0.2500
Cu1 0.0000 0.0000 0.5000
Hg1 0.2500 0.2500 0.7500

Properties
total DFT energy (no corrections)	-37.25	eV/cell
ρ	9.17	g cm⁻³

=====

3.
# NaPaNO

A geometry-optimized NaPaNO structure (PBE-GGA, OQMD via LeMat-Bulk).

a b c (Å): 3.6232 3.6232 8.6637
angles (deg): 90.00 90.00 90.00
Space group P4/nmm (No. 129, origin choice 2)
Unique sites:
Na1 0.2500 0.7500 0.0000
Pa1 0.2500 0.2500 0.3302
N1 0.2500 0.2500 0.7961
O1 0.2500 0.7500 0.5000

Properties
magnetic moment	2.0	μB/cell
total DFT energy (no corrections)	-55.31	eV/cell
ρ	8.29	g cm⁻³
E above lowest polymorph	378.2	meV per atom

=====

4.
# PmTmGa4

A geometry-optimized PmTmGa4 structure (PBE-GGA, OQMD via LeMat-Bulk).

a b c (Å): 4.2306 4.2306 8.2142
angles (deg): 90.00 90.00 120.00
Space group P6/mmm (No. 191)
Unique sites:
Pm1 0.0000 0.0000 0.0000
Tm1 0.0000 0.0000 0.5000
Ga1 0.3333 0.6667 0.2588

Properties
magnetic moment	0.0	μB/cell
total DFT energy (no corrections)	-25.17	eV/cell
ρ	7.73	g cm⁻³

=====

5.
# BaLiMoIr

A geometry-optimized BaLiMoIr structure (PBE-GGA, OQMD via LeMat-Bulk).

a b c (Å): 6.7164 6.7164 6.7164
angles (deg): 90.00 90.00 90.00
Space group F-43m (No. 216)
Unique sites:
Ba1 0.0000 0.0000 0.0000
Li1 0.2500 0.2500 0.2500
Mo1 0.2500 0.2500 0.7500
Ir1 0.0000 0.0000 0.5000

Properties
magnetic moment	0.0	μB/cell
total DFT energy (no corrections)	-83.68	eV/cell
ρ	9.48	g cm⁻³
E above lowest polymorph	0.0	meV per atom

=====

6.
# TbPrZn2Sn2

A geometry-optimized TbPrZn2Sn2 structure (PBE-GGA, OQMD via LeMat-Bulk).

a b c (Å): 4.5705 4.5705 16.2311
angles (deg): 90.00 90.00 120.00
Space group P6_3/mmc (No. 194)
Unique sites:
Tb1 0.0000 0.0000 0.0000
Pr1 0.0000 0.0000 0.2500
Zn1 0.3333 0.6667 0.1550
Sn1 0.3333 0.6667 0.6117

Properties
magnetic moment	0.0	μB/cell
total DFT energy (no corrections)	-47.22	eV/cell
ρ	7.56	g cm⁻³
E above lowest polymorph	22.7	meV per atom

=====

7.
# PrGa2Ni

A geometry-optimized PrGa2Ni structure (PBE-GGA, OQMD via LeMat-Bulk).

a b c (Å): 4.1733 4.2203 17.6399
angles (deg): 90.00 90.00 90.00
Space group Amm2 (No. 38)
Unique sites:
Pr1 0.0000 0.0000 0.0000
Pr2 0.0000 0.0000 0.2831
Ga1 0.0000 0.0000 0.6412
Ga2 0.5000 0.0000 0.1412
Ga3 0.5000 0.0000 0.4323
Ga4 0.5000 0.0000 0.8511
Ni1 0.5000 0.0000 0.5680
Ni2 0.5000 0.0000 0.7149

Properties
magnetic moment	0.0	μB/cell
total DFT energy (no corrections)	-75.64	eV/cell
ρ	7.25	g cm⁻³

=====

8.
# PmB4Pt

A geometry-optimized PmB4Pt structure (PBE-GGA, OQMD via LeMat-Bulk).

a b c (Å): 3.1579 5.3028 8.1627
angles (deg): 90.00 90.00 90.00
Space group Immm (No. 71)
Unique sites:
Pm1 0.0000 0.0000 0.0000
B1 0.0000 0.3234 0.2583
Pt1 0.0000 0.0000 0.5000

Properties
magnetic moment	0.0	μB/cell
total DFT energy (no corrections)	-75.79	eV/cell
ρ	9.31	g cm⁻³
E above lowest polymorph	0.0	meV per atom

=====

9.
# SmAl2ZnGa

A geometry-optimized SmAl2ZnGa structure (PBE-GGA, OQMD via LeMat-Bulk).

a b c (Å): 4.1789 4.1789 10.9989
angles (deg): 90.00 90.00 90.00
Space group I4mm (No. 107)
Unique sites:
Sm1 0.0000 0.0000 0.0000
Al1 0.0000 0.5000 0.2512
Zn1 0.0000 0.0000 0.3854
Ga1 0.0000 0.0000 0.6061

Properties
magnetic moment	0.0	μB/cell
total DFT energy (no corrections)	-37.42	eV/cell
ρ	5.87	g cm⁻³

=====

10.
# LuScCuGe

A geometry-optimized LuScCuGe structure (PBE-GGA, OQMD via LeMat-Bulk).

a b c (Å): 6.7639 6.7639 6.7639
angles (deg): 90.00 90.00 90.00
Space group F-43m (No. 216)
Unique sites:
Lu1 0.0000 0.0000 0.0000
Sc1 0.2500 0.2500 0.2500
Cu1 0.2500 0.2500 0.7500
Ge1 0.0000 0.0000 0.5000

Properties
magnetic moment	0.0	μB/cell
total DFT energy (no corrections)	-76.07	eV/cell
ρ	7.64	g cm⁻³
E above lowest polymorph	0.0	meV per atom

=====

11.
# Na2ThTe3

A geometry-optimized Na2ThTe3 structure (PBE-GGA, OQMD via LeMat-Bulk).

a b c (Å): 4.6445 14.4726 11.9691
angles (deg): 90.00 90.00 90.00
Space group Cmcm (No. 63)
Unique sites:
Na1 0.0000 0.0245 0.2500
Na2 0.0000 0.2519 0.7500
Th1 0.0000 0.5000 0.0000
Te1 0.0000 0.1413 0.0506
Te2 0.0000 0.4049 0.2500

Properties
magnetic moment	0.0	μB/cell
total DFT energy (no corrections)	-101.46	eV/cell
ρ	5.46	g cm⁻³

=====

12.
# GdZnPt

A geometry-optimized GdZnPt structure (PBE-GGA, OQMD via LeMat-Bulk).

a b c (Å): 6.5188 6.5188 6.5188
angles (deg): 90.00 90.00 90.00
Space group F-43m (No. 216)
Unique sites:
Gd1 0.0000 0.0000 0.0000
Zn1 0.0000 0.0000 0.5000
Pt1 0.2500 0.2500 0.2500

Properties
magnetic moment	0.0	μB/cell
total DFT energy (no corrections)	-57.32	eV/cell
ρ	10.02	g cm⁻³
ΔE_f	-0.785	eV/atom

=====

13.
# Zn2BiPO6

A geometry-optimized Zn2BiPO6 structure (PBE-GGA, OQMD via LeMat-Bulk).

a b c (Å): 11.8382 5.2859 7.8333
angles (deg): 90.00 90.00 90.00
Space group Pnma (No. 62)
Unique sites:
Zn1 0.0904 0.2500 0.1986
Zn2 0.1020 0.2500 0.8043
Bi1 0.1021 0.7500 0.4862
P1 0.1969 0.7500 0.0251
O1 0.0061 0.0024 0.6717
O2 0.1237 0.5063 0.0042
O3 0.2066 0.2500 0.3948
O4 0.2417 0.7500 0.2106

Properties
total DFT energy (no corrections)	-234.95	eV/cell
ρ	6.33	g cm⁻³

=====

14.
# HoEr2AgHg3Au2

A geometry-optimized HoEr2AgHg3Au2 structure (PBE-GGA, OQMD via LeMat-Bulk).

a b c (Å): 3.7004 13.7801 7.9495
angles (deg): 90.00 90.00 90.00
Space group Amm2 (No. 38)
Unique sites:
Ho1 0.0000 0.0000 0.0000
Er1 0.0000 0.2010 0.3972
Ag1 0.0000 0.0000 0.5978
Hg1 0.5000 0.0000 0.3259
Hg2 0.5000 0.1362 0.7344
Au1 0.5000 0.1671 0.0985

Properties
magnetic moment	0.0	μB/cell
total DFT energy (no corrections)	-58.27	eV/cell
ρ	13.13	g cm⁻³
ΔE_f	-0.576	eV/atom

=====

15.
# Lu5Bi2As2

A geometry-optimized Lu5Bi2As2 structure (PBE-GGA, OQMD via LeMat-Bulk).

a b c (Å): 5.0008 5.0008 39.3880
angles (deg): 90.00 90.00 120.00
Space group R3m (No. 160, hexagonal axes)
Unique sites:
Lu1 0.0000 0.0000 0.0000
Lu2 0.0000 0.0000 0.1144
Lu3 0.0000 0.0000 0.2685
Lu4 0.0000 0.0000 0.7198
Lu5 0.0000 0.0000 0.8602
Bi1 0.0000 0.0000 0.1912
Bi2 0.0000 0.0000 0.3544
As1 0.0000 0.0000 0.7872
As2 0.0000 0.0000 0.9318

Properties
magnetic moment	0.9	μB/cell
total DFT energy (no corrections)	-137.71	eV/cell
ρ	8.42	g cm⁻³

=====

16.
# Hf2ZrCo4Ge4

A geometry-optimized Hf2ZrCo4Ge4 structure (PBE-GGA, OQMD via LeMat-Bulk).

a b c (Å): 3.8328 6.6222 12.9138
angles (deg): 90.00 90.00 90.00
Space group Immm (No. 71)
Unique sites:
Hf1 0.0000 0.0000 0.1292
Zr1 0.0000 0.5000 0.0000
Co1 0.0000 0.2010 0.3230
Ge1 0.0000 0.3017 0.5000
Ge2 0.0000 0.5000 0.2155

Properties
magnetic moment	0.1	μB/cell
total DFT energy (no corrections)	-164.37	eV/cell
ρ	9.87	g cm⁻³

=====

17.
# GdLuTc

A geometry-optimized GdLuTc structure (PBE-GGA, OQMD via LeMat-Bulk).

a b c (Å): 6.7002 6.7002 6.7002
angles (deg): 90.00 90.00 90.00
Space group F-43m (No. 216)
Unique sites:
Gd1 0.0000 0.0000 0.0000
Lu1 0.2500 0.2500 0.2500
Tc1 0.0000 0.0000 0.5000

Properties
magnetic moment	0.0	μB/cell
total DFT energy (no corrections)	-67.48	eV/cell
ρ	9.50	g cm⁻³
ΔE_f	0.889	eV/atom
E above lowest polymorph	0.0	meV per atom

=====

18.
# Ho2TmNiSn3Pd2

A geometry-optimized Ho2TmNiSn3Pd2 structure (PBE-GGA, OQMD via LeMat-Bulk).

a b c (Å): 3.8302 13.0468 7.5491
angles (deg): 90.00 90.00 90.00
Space group Amm2 (No. 38)
Unique sites:
Ho1 0.0000 0.2004 0.0000
Tm1 0.0000 0.0000 0.6005
Ni1 0.0000 0.0000 0.2011
Sn1 0.5000 0.0000 0.9483
Sn2 0.5000 0.1258 0.3267
Pd1 0.5000 0.1656 0.6998

Properties
magnetic moment	0.0	μB/cell
total DFT energy (no corrections)	-98.78	eV/cell
ρ	9.92	g cm⁻³

=====

19.
# Li3Ir2O6

A geometry-optimized Li3Ir2O6 structure (PBE-GGA, OQMD via LeMat-Bulk).

a b c (Å): 5.1730 8.5559 5.0606
angles (deg): 90.00 108.22 90.00
Space group C2/m (No. 12)
Unique sites:
Li1 0.0000 0.0000 0.0000
Li2 0.0000 0.1643 0.5000
Ir1 0.0000 0.3487 0.0000
O1 0.2308 0.1787 0.2192
O2 0.2436 0.0000 0.7450

Properties
magnetic moment	1.9	μB/cell
total DFT energy (no corrections)	-133.84	eV/cell
ρ	7.82	g cm⁻³
E above lowest polymorph	0.0	meV per atom

=====

20.
# RbIrPb

A geometry-optimized RbIrPb structure (PBE-GGA, OQMD via LeMat-Bulk).

a b c (Å): 7.0529 7.0529 7.0529
angles (deg): 90.00 90.00 90.00
Space group F-43m (No. 216)
Unique sites:
Rb1 0.0000 0.0000 0.0000
Ir1 0.2500 0.2500 0.7500
Pb1 0.0000 0.0000 0.5000

Properties
magnetic moment	0.0	μB/cell
total DFT energy (no corrections)	-45.65	eV/cell
ρ	9.18	g cm⁻³
E above lowest polymorph	0.0	meV per atom